VASP calculation (PBE with a Hubbard U) on a geometry-optimized CsDyCoO3 structure.

Its symmetry is Cmcm (63). As for the calculated total energy: -6.34 eV per atom.

a b c (Å): 6.8245 6.8245 9.1131
angles (deg): 90.00 90.00 149.82
Positions (direct):
1 Cs 0.2237 0.7763 0.7500
2 Cs 0.7763 0.2237 0.2500
3 Dy 0.5000 0.5000 0.0000
4 Dy 0.5000 0.5000 0.5000
5 Co 0.0523 0.9477 0.2500
6 Co 0.9477 0.0523 0.7500
7 O 0.1046 0.8954 0.0535
8 O 0.1046 0.8954 0.4465
9 O 0.4716 0.5284 0.2500
10 O 0.5284 0.4716 0.7500
11 O 0.8954 0.1046 0.5535
12 O 0.8954 0.1046 0.9465